1.
# TbNd3Pt4 (PBE, relaxed)
# E_tot in eV per atom: -6.363
# Fermi-level density of states in states/eV/atom: 0.72
# Formation energy in meV/atom: -976
# Symmetry: Immm (71)
data_TbNd3Pt4
_symmetry_space_group_name_H-M 'P 1'
_symmetry_Int_Tables_number 1
_symmetry_space_group_name_Hall 'P 1'
_cell_length_a 4.035
_cell_length_b 6.635
_cell_length_c 8.691
_cell_angle_alpha 112.43
_cell_angle_beta 103.42
_cell_angle_gamma 90.00
loop_
_atom_site_label
_atom_site_type_symbol
_atom_site_fract_x
_atom_site_fract_y
_atom_site_fract_z
_atom_site_occupancy
Tb1 Tb 0.500 0.000 0.000 1
Nd1 Nd 0.000 0.500 0.000 1
Nd2 Nd 0.199 0.199 0.398 1
Nd3 Nd 0.801 0.801 0.602 1
Pt1 Pt 0.373 0.578 0.745 1
Pt2 Pt 0.627 0.422 0.255 1
Pt3 Pt 0.627 0.832 0.255 1
Pt4 Pt 0.373 0.168 0.745 1


2.
# LuS2 (PBE, relaxed)
# E_tot in eV per atom: -5.867
# Fermi-level density of states in states/eV/atom: 0.09
# Raw formation energy in eV/atom: -1.61
# Symmetry: P4/nmm (129)
data_LuS2
_symmetry_space_group_name_H-M 'P 1'
_symmetry_Int_Tables_number 1
_symmetry_space_group_name_Hall 'P 1'
_cell_length_a 3.793
_cell_length_b 3.793
_cell_length_c 7.816
_cell_angle_alpha 90.00
_cell_angle_beta 90.00
_cell_angle_gamma 90.00
loop_
_atom_site_label
_atom_site_type_symbol
_atom_site_fract_x
_atom_site_fract_y
_atom_site_fract_z
_atom_site_occupancy
Lu1 Lu 0.000 0.500 0.726 1
Lu2 Lu 0.500 0.000 0.274 1
S1 S 0.000 0.500 0.370 1
S2 S 0.500 0.000 0.630 1
S3 S 0.000 0.000 0.000 1
S4 S 0.500 0.500 0.000 1